This record from Alexandria describes a geometry-optimized TbPm3Pu2Se6 structure. The functional is PBE-GGA.

Results
As for the space group: C2/m, No. 12.

Cell lengths 7.1872, 7.1872, 7.2409 Å; angles 99.51, 99.51, 120.03 degrees
Closest atoms and distances in Å follow each position.
Atoms (fractional coordinates):
Tb  0.0000  0.0000  0.0000  6 Se 2.91
Pm  0.1674  0.8326  0.5000  6 Se 2.96-2.97
Pm  0.8326  0.1674  0.5000  6 Se 2.96-2.97
Pm  0.5000  0.5000  0.5000  6 Se 2.97
Pu  0.3335  0.6665  0.0000  6 Se 2.92-2.93
Pu  0.6665  0.3335  0.0000  6 Se 2.92-2.93
Se  0.9190  0.5870  0.7568  1 Tb 2.91, 2 Pu 2.92, 3 Pm 2.96-2.97
Se  0.7498  0.7498  0.2450  1 Tb 2.91, 2 Pu 2.93, 3 Pm 2.97
Se  0.0810  0.4130  0.2432  1 Tb 2.91, 2 Pu 2.92, 3 Pm 2.96-2.97
Se  0.5870  0.9190  0.7568  1 Tb 2.91, 2 Pu 2.92, 3 Pm 2.96-2.97
Se  0.2502  0.2502  0.7550  1 Tb 2.91, 2 Pu 2.93, 3 Pm 2.97
Se  0.4130  0.0810  0.2432  1 Tb 2.91, 2 Pu 2.92, 3 Pm 2.96-2.97

---

This record from Alexandria describes a geometry-optimized TbPmPu2Se4 structure. The functional is PBE-GGA.

Results
As for the space group: P2/m, No. 10.

Cell lengths 4.1320, 7.1583, 7.2137 Å; angles 109.31, 90.00, 90.00 degrees
Closest atoms and distances in Å follow each position.
Atoms (fractional coordinates):
Tb  0.5000  0.5000  0.0000  6 Se 2.92
Pm  0.0000  0.0000  0.0000  6 Se 2.95
Pu  0.5000  0.0000  0.5000  6 Se 2.94-2.95
Pu  0.0000  0.5000  0.5000  6 Se 2.91
Se  0.5000  0.2546  0.2523  3 Pu 2.91-2.94, 1 Tb 2.92, 2 Pm 2.95
Se  0.5000  0.7454  0.7477  3 Pu 2.91-2.94, 1 Tb 2.92, 2 Pm 2.95
Se  0.0000  0.2542  0.7509  3 Pu 2.91-2.95, 2 Tb 2.92, 1 Pm 2.95
Se  0.0000  0.7458  0.2491  3 Pu 2.91-2.95, 2 Tb 2.92, 1 Pm 2.95

---

This record from Alexandria describes a geometry-optimized TbPm4Pu3Se8 structure. The functional is PBE-GGA.

Results
As for the space group: R-3m, No. 166.

Cell lengths 8.3065, 8.3534, 8.3077 Å; angles 119.81, 120.00, 90.00 degrees
Closest atoms and distances in Å follow each position.
Atoms (fractional coordinates):
Tb  0.0000  0.5000  0.0000  6 Se 2.91
Pm  0.5000  0.0000  0.0000  6 Se 2.98
Pm  0.5000  0.0000  0.5000  6 Se 2.97
Pm  0.0000  0.0000  0.0000  6 Se 2.96
Pm  0.0000  0.0000  0.5000  6 Se 2.97
Pu  0.5000  0.5000  0.0000  6 Se 2.93
Pu  0.5000  0.5000  0.5000  6 Se 2.92
Pu  0.0000  0.5000  0.5000  6 Se 2.92
Se  0.2467  0.7441  0.9964  1 Tb 2.91, 2 Pu 2.92-2.93, 3 Pm 2.96-2.98
Se  0.2473  0.7437  0.4946  1 Tb 2.91, 2 Pu 2.92, 3 Pm 2.97-2.98
Se  0.2513  0.2552  0.5027  3 Pu 2.92-2.93, 3 Pm 2.96-2.97
Se  0.7497  0.7441  0.9964  1 Tb 2.91, 2 Pu 2.92-2.93, 3 Pm 2.96-2.98
Se  0.2503  0.2559  0.0036  1 Tb 2.91, 2 Pu 2.92-2.93, 3 Pm 2.96-2.98
Se  0.7487  0.7448  0.4973  3 Pu 2.92-2.93, 3 Pm 2.96-2.97
Se  0.7527  0.2563  0.5054  1 Tb 2.91, 2 Pu 2.92, 3 Pm 2.97-2.98
Se  0.7533  0.2559  0.0036  1 Tb 2.91, 2 Pu 2.92-2.93, 3 Pm 2.96-2.98

---

This record from Alexandria describes a geometry-optimized Tb3Pm2PuSe6 structure. The functional is PBE-GGA.

Results
As for the space group: C2/m, No. 12.

Cell lengths 4.1116, 8.3208, 9.2595 Å; angles 103.28, 102.83, 90.00 degrees
Closest atoms and distances in Å follow each position.
Atoms (fractional coordinates):
Tb  0.5000  0.5000  0.0000  6 Se 2.90-2.91
Tb  0.8329  0.1644  0.6658  6 Se 2.88-2.90
Tb  0.1671  0.8356  0.3342  6 Se 2.88-2.90
Pm  0.8346  0.6689  0.6693  6 Se 2.95-2.98
Pm  0.1654  0.3311  0.3307  6 Se 2.95-2.98
Pu  0.5000  0.0000  0.0000  6 Se 2.94
Se  0.3326  0.9219  0.6651  3 Tb 2.88-2.90, 1 Pu 2.94, 2 Pm 2.95
Se  0.6651  0.5887  0.3303  3 Tb 2.90, 3 Pm 2.97-2.98
Se  0.6674  0.0781  0.3349  3 Tb 2.88-2.90, 1 Pu 2.94, 2 Pm 2.95
Se  0.9975  0.2514  0.9949  3 Tb 2.89-2.91, 2 Pu 2.94, 1 Pm 2.95
Se  0.0025  0.7486  0.0051  3 Tb 2.89-2.91, 2 Pu 2.94, 1 Pm 2.95
Se  0.3349  0.4113  0.6697  3 Tb 2.90, 3 Pm 2.97-2.98

---

This record from Alexandria describes a geometry-optimized TbPm3Pu3Se8 structure. The functional is PBE-GGA.

Results
As for the space group: R-3m, No. 166.

Cell lengths 8.3130, 8.3130, 8.3275 Å; angles 119.94, 90.00, 120.00 degrees
Closest atoms and distances in Å follow each position.
Atoms (fractional coordinates):
Tb  0.0000  0.0000  0.5000  6 Se 2.92
Pm  0.0000  0.0000  0.0000  6 Se 2.95-2.96
Pm  0.0000  0.5000  0.0000  6 Se 2.95-2.96
Pm  0.5000  0.5000  0.0000  6 Se 2.95-2.96
Pu  0.5000  0.0000  0.5000  6 Se 2.92-2.93
Pu  0.5000  0.5000  0.5000  6 Se 2.92-2.93
Pu  0.0000  0.5000  0.5000  6 Se 2.92-2.93
Se  0.2519  0.5039  0.2558  3 Pu 2.92, 3 Pm 2.96
Se  0.7481  0.4961  0.7442  3 Pu 2.92, 3 Pm 2.96
Se  0.7517  0.5034  0.2538  1 Tb 2.92, 2 Pu 2.93, 2 Pm 2.95
Se  0.2483  0.4966  0.7462  1 Tb 2.92, 2 Pu 2.93, 2 Pm 2.95
Se  0.7517  0.0021  0.2539  1 Tb 2.92, 2 Pu 2.93, 2 Pm 2.95
Se  0.2483  0.9979  0.7461  1 Tb 2.92, 2 Pu 2.93, 2 Pm 2.95
Se  0.2504  0.0021  0.2539  1 Tb 2.92, 2 Pu 2.93, 2 Pm 2.95
Se  0.7496  0.9979  0.7461  1 Tb 2.92, 2 Pu 2.93, 2 Pm 2.95

---

This record from Alexandria describes a geometry-optimized PmPuTeSe structure. The functional is PBE-GGA.

Results
The calculation puts the excess energy over the best structure of this formula in the dataset at 0.238 eV per atom. As for the space group: F-43m, No. 216.

Cell lengths 5.2959, 5.2959, 5.2959 Å; angles 60.00, 60.00, 60.00 degrees
Closest atoms and distances in Å follow each position.
Atoms (fractional coordinates):
Pm  0.0000  0.0000  0.0000  4 Se 3.24, 4 Te 3.24
Te  0.7500  0.7500  0.7500  4 Pm 3.24, 4 Pu 3.24
Se  0.2500  0.2500  0.2500  4 Pm 3.24, 4 Pu 3.24
Pu  0.5000  0.5000  0.5000  4 Te 3.24, 4 Se 3.24

---

This record from Alexandria describes a geometry-optimized PmPuTeSe structure. The functional is PBE-GGA.

Results
The calculation puts the excess energy over the best structure of this formula in the dataset at 0.000 eV per atom. As for the space group: R3m, No. 160.

Cell lengths 4.2719, 4.2719, 7.5682 Å; angles 73.61, 73.61, 60.00 degrees
Closest atoms and distances in Å follow each position.
Atoms (fractional coordinates):
Pm  0.9924  0.9924  0.0229  3 Se 2.97, 3 Te 3.16
Pu  0.5080  0.5080  0.4761  3 Se 2.93, 3 Te 3.13
Te  0.7512  0.7512  0.7464  3 Pu 3.13, 3 Pm 3.16
Se  0.2485  0.2485  0.2546  3 Pu 2.93, 3 Pm 2.97

---

This record from Alexandria describes a geometry-optimized Pm3PuTh4Se8 structure. The functional is PBE-GGA.

Results
As for the space group: R-3m, No. 166.

Cell lengths 8.2855, 8.4775, 8.2859 Å; angles 119.25, 120.00, 90.00 degrees
Closest atoms and distances in Å follow each position.
Atoms (fractional coordinates):
Pm  0.5000  0.5000  0.0000  6 Se 2.94-2.95
Pm  0.5000  0.5000  0.5000  6 Se 2.95
Pm  0.0000  0.5000  0.5000  6 Se 2.95
Pu  0.0000  0.5000  0.0000  6 Se 2.92-2.93
Th  0.5000  0.0000  0.0000  6 Se 3.00
Th  0.5000  0.0000  0.5000  6 Se 2.98
Th  0.0000  0.0000  0.0000  6 Se 2.98
Th  0.0000  0.0000  0.5000  6 Se 2.98
Se  0.2474  0.7443  0.9972  1 Pu 2.93, 2 Pm 2.94-2.95, 3 Th 2.98-3.00
Se  0.2467  0.7438  0.4933  1 Pu 2.92, 2 Pm 2.95, 3 Th 2.98-3.00
Se  0.2512  0.2542  0.5024  3 Pm 2.95, 3 Th 2.98
Se  0.7498  0.7443  0.9972  1 Pu 2.93, 2 Pm 2.94-2.95, 3 Th 2.98-3.00
Se  0.2502  0.2557  0.0028  1 Pu 2.93, 2 Pm 2.94-2.95, 3 Th 2.98-3.00
Se  0.7488  0.7458  0.4976  3 Pm 2.95, 3 Th 2.98
Se  0.7533  0.2562  0.5067  1 Pu 2.92, 2 Pm 2.95, 3 Th 2.98-3.00
Se  0.7526  0.2557  0.0028  1 Pu 2.93, 2 Pm 2.94-2.95, 3 Th 2.98-3.00

---

This record from Alexandria describes a geometry-optimized PmPu2ThSe4 structure. The functional is PBE-GGA.

Results
As for the space group: P2/m, No. 10.

Cell lengths 4.1390, 7.2680, 7.1982 Å; angles 70.90, 90.00, 90.00 degrees
Closest atoms and distances in Å follow each position.
Atoms (fractional coordinates):
Pm  0.5000  0.5000  0.0000  6 Se 2.97
Pu  0.0000  0.0000  0.0000  6 Se 2.91-2.92
Pu  0.5000  0.0000  0.5000  6 Se 2.92-2.93
Th  0.0000  0.5000  0.5000  6 Se 2.98
Se  0.0000  0.7562  0.7490  3 Pu 2.92-2.93, 2 Pm 2.97, 1 Th 2.98
Se  0.0000  0.2438  0.2510  3 Pu 2.92-2.93, 2 Pm 2.97, 1 Th 2.98
Se  0.5000  0.7580  0.2459  3 Pu 2.91-2.92, 1 Pm 2.97, 2 Th 2.98
Se  0.5000  0.2420  0.7541  3 Pu 2.91-2.92, 1 Pm 2.97, 2 Th 2.98

---

This record from Alexandria describes a geometry-optimized Pm4Pu3ThSe8 structure. The functional is PBE-GGA.

Results
As for the space group: C2/m, No. 12.

Cell lengths 8.3901, 8.3234, 8.3406 Å; angles 120.06, 119.82, 90.03 degrees
Closest atoms and distances in Å follow each position.
Atoms (fractional coordinates):
Pm  0.5000  0.0000  0.0000  6 Se 2.95
Pm  0.5000  0.0000  0.5000  6 Se 2.97
Pm  0.0000  0.0000  0.0000  6 Se 2.97-2.98
Pm  0.0000  0.0000  0.5000  6 Se 2.97-2.98
Pu  0.5000  0.5000  0.0000  6 Se 2.93-2.94
Pu  0.5000  0.5000  0.5000  6 Se 2.93-2.94
Pu  0.0000  0.5000  0.5000  6 Se 2.94
Th  0.0000  0.5000  0.0000  6 Se 2.96
Se  0.2506  0.7476  0.9970  2 Pu 2.94, 3 Pm 2.95-2.97, 1 Th 2.96
Se  0.2505  0.7476  0.5012  2 Pu 2.94, 3 Pm 2.95-2.97, 1 Th 2.96
Se  0.2519  0.2547  0.5033  3 Pu 2.93-2.94, 3 Pm 2.97
Se  0.7456  0.7469  0.9963  2 Pu 2.93, 3 Pm 2.95-2.98, 1 Th 2.96
Se  0.2544  0.2531  0.0037  2 Pu 2.93, 3 Pm 2.95-2.98, 1 Th 2.96
Se  0.7481  0.7453  0.4967  3 Pu 2.93-2.94, 3 Pm 2.97
Se  0.7495  0.2524  0.4988  2 Pu 2.94, 3 Pm 2.95-2.97, 1 Th 2.96
Se  0.7494  0.2524  0.0030  2 Pu 2.94, 3 Pm 2.95-2.97, 1 Th 2.96

---

This record from Alexandria describes a geometry-optimized PmPu2Th3Se6 structure. The functional is PBE-GGA.

Results
As for the space group: C2/m, No. 12.

Cell lengths 7.1585, 7.1585, 7.3624 Å; angles 99.32, 99.32, 119.98 degrees
Closest atoms and distances in Å follow each position.
Atoms (fractional coordinates):
Pm  0.0000  0.0000  0.0000  6 Se 2.94-2.95
Pu  0.3328  0.6672  0.0000  6 Se 2.90-2.92
Pu  0.6672  0.3328  0.0000  6 Se 2.90-2.92
Th  0.1636  0.8364  0.5000  6 Se 2.98-2.99
Th  0.8364  0.1636  0.5000  6 Se 2.98-2.99
Th  0.5000  0.5000  0.5000  6 Se 2.98-2.99
Se  0.9186  0.5815  0.7565  2 Pu 2.91-2.92, 1 Pm 2.95, 3 Th 2.99
Se  0.7423  0.7423  0.2393  2 Pu 2.90, 1 Pm 2.94, 3 Th 2.98
Se  0.0814  0.4185  0.2435  2 Pu 2.91-2.92, 1 Pm 2.95, 3 Th 2.99
Se  0.5815  0.9186  0.7565  2 Pu 2.91-2.92, 1 Pm 2.95, 3 Th 2.99
Se  0.2577  0.2577  0.7607  2 Pu 2.90, 1 Pm 2.94, 3 Th 2.98
Se  0.4185  0.0814  0.2435  2 Pu 2.91-2.92, 1 Pm 2.95, 3 Th 2.99

---

no.,formation energy (no corrections) (eV/f.u.)
1,-20.91
2,-13.51
3,-28.10
4,-21.27
5,-26.19
6,-4.97
7,-5.92
8,-26.43
9,-12.99
10,-27.08
11,-19.14